# 1
First-principles (PBE) data for La2TaIn after structural relaxation, as listed in Alexandria.

POSCAR file:
```
La2TaIn
1.0
-2.367 2.367 4.764
2.367 -2.367 4.764
2.367 2.367 -4.764
La Ta In
2 1 1
Cartesian
0.000 0.000 0.000 La
0.000 2.367 2.382 La
2.367 0.000 2.382 Ta
0.000 0.000 4.764 In
```

Results
- electronic total energy (eV per atom) = -5.9423

***

# 2
First-principles (PBE) data for Sm2Er6Th3 after structural relaxation, as listed in Alexandria.

POSCAR file:
```
Sm2Er6Th3
1.0
3.060 -5.353 0.000
3.060 5.353 0.000
-2.305 0.000 11.289
Sm Er Th
2 6 3
Cartesian
3.060 3.617 0.000 Sm
3.060 -3.617 0.000 Sm
-0.151 1.773 8.437 Er
0.902 0.000 2.910 Er
-0.151 -1.773 8.437 Er
3.966 1.773 2.853 Er
2.913 0.000 8.380 Er
3.966 -1.773 2.853 Er
-1.152 0.000 5.645 Th
1.908 1.792 5.645 Th
1.908 -1.792 5.645 Th
```

Results
- electronic total energy (eV per atom) = -5.1955

***

# 3
First-principles (PBE) data for Cs2CrSnS4 after structural relaxation, as listed in Alexandria.

POSCAR file:
```
Cs2CrSnS4
1.0
0.000 7.065 11.917
3.477 0.000 11.917
3.477 7.065 0.000
Cs Cr Sn S
4 2 2 8
Cartesian
2.607 5.298 1.285 Cs
4.346 8.831 7.244 Cs
2.607 5.298 16.590 Cs
4.346 8.831 22.548 Cs
0.869 1.766 2.979 Cr
6.084 12.363 20.854 Cr
2.607 5.298 8.938 Sn
4.346 8.831 14.896 Sn
2.322 2.972 4.147 S
4.631 6.504 10.106 S
2.893 7.625 4.147 S
2.893 2.972 13.728 S
4.060 11.158 10.106 S
4.060 6.504 19.686 S
2.322 7.625 13.728 S
4.631 11.158 19.686 S
```

Results
- electronic total energy (eV per atom) = -4.7972
- uncorrected formation energy (eV/f.u.) = -6.53

***

# 4
First-principles (PBE) data for Fe2NiSe after structural relaxation, as listed in Alexandria.

POSCAR file:
```
Fe2NiSe
1.0
2.552 -2.547 0.000
2.552 2.547 0.000
-0.015 0.000 3.977
Fe Ni Se
2 1 1
Cartesian
1.276 1.273 0.000 Fe
1.276 -1.273 0.000 Fe
-0.008 0.000 1.989 Ni
2.545 0.000 1.989 Se
```

Results
- electronic total energy (eV per atom) = -6.3977
- uncorrected formation energy (eV/f.u.) = 0.60

***

# 5
First-principles (PBE) data for PrZnCuNi after structural relaxation, as listed in Alexandria.

POSCAR file:
```
PrZnCuNi
1.0
0.000 3.296 3.296
3.296 0.000 3.296
3.296 3.296 0.000
Pr Zn Cu Ni
1 1 1 1
Cartesian
0.000 0.000 0.000 Pr
3.296 3.296 3.296 Zn
4.945 4.945 4.945 Cu
1.648 1.648 1.648 Ni
```

Results
- electronic total energy (eV per atom) = -4.0910
- energy relative to the lowest polymorph listed for this composition (eV/atom) = 0.175

***

# 6
First-principles (PBE) data for Tc2PAu after structural relaxation, as listed in Alexandria.

POSCAR file:
```
Tc2PAu
1.0
2.939 0.000 0.000
0.000 2.939 0.000
0.000 0.000 6.742
Tc P Au
2 1 1
Cartesian
0.000 0.000 1.336 Tc
0.000 0.000 5.406 Tc
1.470 1.470 0.000 P
1.470 1.470 3.371 Au
```

Results
- electronic total energy (eV per atom) = -7.4537